This record from Alexandria via LeMat-Bulk describes crystalline LaHfPOs2 at its relaxed geometry. The functional is GGA-PBE.

Cell: 4.4372 5.2366 4.4372 Å, 90.00 90.00 90.00°
Sites, in units of the cell vectors:
P: 0.0000 0.0000 0.0000
Hf: 0.5000 0.5000 0.5000
La: 0.0000 0.5000 0.0000
Os: 0.0000 0.0000 0.5000
Os: 0.5000 0.0000 0.0000

Computed properties:
The density of states at the Fermi level is 1.03 states/eV/atom. The calculation puts the total moment at 0.00 μB per atom. As for the space group: No. 123. As for the formation energy: 0.448 eV/atom.

***

This record from Alexandria via LeMat-Bulk describes crystalline La2HfPOs at its relaxed geometry. The functional is GGA-PBE.

Cell: 5.5373 4.9728 5.5373 Å, 90.00 90.00 90.00°
Sites, in units of the cell vectors:
La: 0.5000 0.0000 0.0000
La: 0.0000 0.0000 0.5000
P: 0.5000 0.5000 0.5000
Os: 0.0000 0.0000 0.0000
Hf: 0.0000 0.5000 0.0000

Computed properties:
The density of states at the Fermi level is 0.95 states/eV/atom. The calculation puts the total moment at 0.00 μB per atom. As for the space group: No. 123. As for the formation energy: 0.061 eV/atom.

***

This record from Alexandria via LeMat-Bulk describes crystalline LaHfOsSe2 at its relaxed geometry. The functional is GGA-PBE.

Cell: 5.3821 6.0932 5.3821 Å, 90.00 90.00 90.00°
Each line ends with the local moment (μB).
Sites, in units of the cell vectors:
La: 0.0000 0.0000 0.0000  0.02
Se: 0.5000 0.0000 0.0000  0.00
Se: 0.0000 0.0000 0.5000  0.00
Hf: 0.0000 0.5000 0.0000  0.24
Os: 0.5000 0.5000 0.5000  -0.02

Computed properties:
The calculation puts the uncorrected formation energy at 1.853 eV/atom. The density of states at the Fermi level is 1.90 states/eV/atom. The calculation puts the total moment at 0.09 μB per atom. As for the space group: No. 123.

***

This record from Alexandria via LeMat-Bulk describes crystalline LaHfOs2W at its relaxed geometry. The functional is GGA-PBE.

Cell: 4.7898 4.7898 5.1443 Å, 90.00 90.00 90.00°
Sites, in units of the cell vectors:
La: 0.0000 0.0000 0.5000
Hf: 0.5000 0.5000 0.5000
W: 0.0000 0.0000 0.0000
Os: 0.0000 0.5000 0.0000
Os: 0.5000 0.0000 0.0000

Computed properties:
The density of states at the Fermi level is 1.12 states/eV/atom. The calculation puts the total moment at 0.00 μB per atom. As for the space group: No. 123. As for the formation energy: 1.413 eV/atom.

***

Please write out number 3 again, unchanged.
This record from Alexandria via LeMat-Bulk describes crystalline LaHfOsSe2 at its relaxed geometry. The functional is GGA-PBE.

Cell: 5.3821 6.0932 5.3821 Å, 90.00 90.00 90.00°
Each line ends with the local moment (μB).
Sites, in units of the cell vectors:
La: 0.0000 0.0000 0.0000  0.02
Se: 0.5000 0.0000 0.0000  0.00
Se: 0.0000 0.0000 0.5000  0.00
Hf: 0.0000 0.5000 0.0000  0.24
Os: 0.5000 0.5000 0.5000  -0.02

Computed properties:
The calculation puts the uncorrected formation energy at 1.853 eV/atom. The density of states at the Fermi level is 1.90 states/eV/atom. The calculation puts the total moment at 0.09 μB per atom. As for the space group: No. 123.

***

- density of states at the Fermi level of number 2 (La2HfPOs)?
  0.95 states/eV/atom